# Tb2Pm8Nd3 | the Alexandria database | PBE | optimized geometry
data_Tb2Pm8Nd3
_cell_length_a 13.2464
_cell_length_b 11.8760
_cell_length_c 6.2306
_cell_angle_alpha 90.00
_cell_angle_beta 113.40
_cell_angle_gamma 90.00
_space_group_name_H-M_alt 'C 1 2/m 1'
_space_group_IT_number 12
_space_group_name_Hall '-C 2y'
loop_
_atom_site_label
_atom_site_type_symbol
_atom_site_fract_x
_atom_site_fract_y
_atom_site_fract_z
_atom_site_occupancy
Tb1 Tb 0.2114 0.0000 0.3525 1
Pm1 Pm 0.0552 0.0000 0.7826 1
Pm2 Pm 0.1546 0.5000 0.0518 1
Pm3 Pm 0.1735 0.2435 0.6741 1
Nd1 Nd 0.0000 0.2563 0.0000 1
Nd2 Nd 0.0000 0.5000 0.5000 1
# - relative energy among the computed polymorphs (eV per formula unit) = 0.000
# - energy relative to the elements (eV per atom) = 0.1540